Entry 1:
VASP calculation (PBE) on an optimized crystal structure of Ta7Al5.

The structure belongs to space group P6_3/mmc (No. 194); the cell edges are 5.3287, 5.3287 and 18.0155 Å and the angles 90.00°, 90.00° and 120.00°. The distinct sites, in fractional coordinates, are Ta at (0.1659, 0.3319, 0.2500), Ta at (0.3333, 0.6667, 0.1205), Ta at (0.3333, 0.6667, 0.6571), Al at (0.0000, 0.0000, 0.1133) and Al at (0.0000, 0.5000, 0.0000).

The distance to the lowest polymorph of the same formula is 187 meV/atom. The value obtained for the size of the total moment is 0.0 μB/cell.


Entry 2:
VASP calculation (PBE) on an optimized crystal structure of LaDyAsI2.

The structure belongs to space group P3m1 (No. 156); the cell edges are 4.2844, 4.2844 and 11.1894 Å and the angles 90.00°, 90.00° and 120.00°. The distinct sites, in fractional coordinates, are La at (0.0000, 0.0000, 0.0000), Dy at (0.6667, 0.3333, 0.7133), As at (0.3333, 0.6667, 0.8455), I at (0.0000, 0.0000, 0.5365) and I at (0.6667, 0.3333, 0.1922).

The value obtained for the size of the total moment is 0.0 μB/cell. The electronic total energy is -24.88 eV/f.u.


Entry 3:
VASP calculation (PBE) on an optimized crystal structure of MgFe2B2.

The structure belongs to space group I4/mmm (No. 139); the cell edges are 3.392, 3.392 and 8.687 Å and the angles 90.00°, 90.00° and 90.00°. The distinct sites, in fractional coordinates, are Mg at (0.000, 0.000, 0.000), Fe at (0.000, 0.500, 0.250) and B at (0.000, 0.000, 0.395).

The value obtained for the size of the total moment is 4.6 μB/cell. The electronic total energy is -32.45 eV/f.u.


Entry 4:
VASP calculation (PBE) on an optimized crystal structure of Nb3SN2.

The structure belongs to space group P6_3/mmc (No. 194); the cell edges are 3.1843, 3.1843 and 17.1513 Å and the angles 90.00°, 90.00° and 120.00°. The distinct sites, in fractional coordinates, are Nb at (0.0000, 0.0000, 0.0000), Nb at (0.3333, 0.6667, 0.1445), S at (0.0000, 0.0000, 0.2500) and N at (0.3333, 0.6667, 0.5724).

The value obtained for the size of the total moment is 0.0 μB/cell. The electronic total energy is -56.06 eV/f.u.


Entry 5:
VASP calculation (PBE) on an optimized crystal structure of GdTlO3.

The structure belongs to space group Pnma (No. 62); the cell edges are 5.908, 8.517 and 5.826 Å and the angles 90.00°, 90.00° and 90.00°. The distinct sites, in fractional coordinates, are Gd at (0.000, 0.000, 0.000), Tl at (0.043, 0.250, 0.493), O at (0.108, 0.750, 0.132) and O at (0.171, 0.574, 0.666).

The value obtained for the size of the total moment is 0.0 μB/cell. The electronic total energy is -31.89 eV/f.u.


Entry 6:
VASP calculation (PBE) on an optimized crystal structure of LaTmAg.

The structure belongs to space group F-43m (No. 216); the cell edges are 7.040, 7.040 and 7.040 Å and the angles 90.00°, 90.00° and 90.00°. The distinct sites, in fractional coordinates, are La at (0.000, 0.000, 0.000), Tm at (0.250, 0.250, 0.750) and Ag at (0.000, 0.000, 0.500).

The formation enthalpy at 0 K is 0.36 eV/atom. The distance to the lowest polymorph of the same formula is 0 meV/atom. The value obtained for the size of the total moment is 0.0 μB/cell.


Entry 7:
VASP calculation (PBE) on an optimized crystal structure of Ba2BeFe.

The structure belongs to space group F-43m (No. 216); the cell edges are 7.405, 7.405 and 7.405 Å and the angles 90.00°, 90.00° and 90.00°. The distinct sites, in fractional coordinates, are Ba at (0.000, 0.000, 0.000), Ba at (0.250, 0.250, 0.250), Be at (0.000, 0.000, 0.500) and Fe at (0.250, 0.250, 0.750).

The value obtained for the size of the total moment is 11.4 μB/cell. The electronic total energy is -12.26 eV/f.u.


Entry 8:
VASP calculation (PBE) on an optimized crystal structure of YCuNiSb.

The structure belongs to space group F-43m (No. 216); the cell edges are 6.575, 6.575 and 6.575 Å and the angles 90.00°, 90.00° and 90.00°. The distinct sites, in fractional coordinates, are Y at (0.000, 0.000, 0.000), Cu at (0.250, 0.250, 0.750), Ni at (0.250, 0.250, 0.250) and Sb at (0.000, 0.000, 0.500).

The distance to the lowest polymorph of the same formula is 0 meV/atom. The value obtained for the size of the total moment is 0.0 μB/cell.